Pr3Si2Ni3 | the Alexandria database | PBE-GGA | relaxed; electronic total energy = -5.9249 eV per atom; Fermi-level density of states = 21.5 states/eV/cell; formation energy (no corrections) = -0.61 eV per atom
1.0
6.035 0.000 0.000
0.000 7.446 0.000
0.000 0.000 14.288
Pr Ni Si
12 12 8
Direct
0.127 0.121 0.750 Pr
0.860 0.490 0.892 Pr
0.140 0.510 0.392 Pr
0.640 0.990 0.892 Pr
0.640 0.990 0.608 Pr
0.873 0.879 0.250 Pr
0.860 0.490 0.608 Pr
0.373 0.621 0.750 Pr
0.140 0.510 0.108 Pr
0.360 0.010 0.108 Pr
0.627 0.379 0.250 Pr
0.360 0.010 0.392 Pr
0.101 0.133 0.540 Ni
0.601 0.367 0.040 Ni
0.399 0.633 0.960 Ni
0.936 0.780 0.750 Ni
0.101 0.133 0.960 Ni
0.564 0.280 0.750 Ni
0.064 0.220 0.250 Ni
0.899 0.867 0.460 Ni
0.399 0.633 0.540 Ni
0.899 0.867 0.040 Ni
0.601 0.367 0.460 Ni
0.436 0.720 0.250 Ni
0.137 0.836 0.589 Si
0.137 0.836 0.911 Si
0.863 0.164 0.089 Si
0.637 0.664 0.089 Si
0.863 0.164 0.411 Si
0.363 0.336 0.589 Si
0.637 0.664 0.411 Si
0.363 0.336 0.911 Si